5
Lattice="4.0723 0.0000 0.0000 0.0000 4.0723 0.0000 0.0000 0.0000 5.0827" Properties=species:S:1:pos:R:3 comment="VZnRuF2 (PBE with a Hubbard U, optimized geometry)" total_energy_ev_per_atom=-4.221 spacegroup="P4/mmm (123)" dos_at_fermi_per_ev_fu=3.42 pbc="T T T"
V 0.0000 0.0000 0.0000
Zn 2.0362 2.0362 0.0000
Ru 2.0362 2.0362 2.5414
F 0.0000 2.0362 2.5414
F 2.0362 0.0000 2.5414

---

5
Lattice="4.2410 0.0000 0.0000 0.0000 4.2410 0.0000 0.0000 0.0000 4.2410" Properties=species:S:1:pos:R:3 comment="RuW3F (PBE with a Hubbard U, optimized geometry)" total_energy_ev_per_atom=-5.219 spacegroup="Pm-3m (221)" dos_at_fermi_per_ev_fu=4.53 pbc="T T T"
Ru 0.0000 0.0000 0.0000
W 0.0000 2.1205 2.1205
W 2.1205 0.0000 2.1205
W 2.1205 2.1205 0.0000
F 2.1205 2.1205 2.1205

---

4
Lattice="1.4088 0.8134 9.1663 -1.4088 0.8134 9.1663 0.0000 -1.6267 9.1663" Properties=species:S:1:pos:R:3 comment="RuWF2 (PBE with a Hubbard U, optimized geometry)" polymorph_energy_mev_per_atom=0 total_energy_ev_per_atom=-5.364 spacegroup="R-3m (166)" dos_at_fermi_per_ev_fu=2.26 pbc="T T T"
Ru 0.0000 0.0000 0.0000
W 0.0000 0.0000 13.7495
F 0.0000 0.0000 11.8048
F 0.0000 0.0000 15.6941

---

8
Lattice="-1.8697 1.8697 8.0359 1.8697 -1.8697 8.0359 1.8697 1.8697 -8.0359" Properties=species:S:1:pos:R:3 comment="RuWF2 (PBE with a Hubbard U, optimized geometry)" polymorph_energy_mev_per_atom=66 total_energy_ev_per_atom=-5.298 spacegroup="I-42d (122)" dos_at_fermi_per_ev_fu=2.95 pbc="T T T"
Ru 0.0000 0.0000 0.0000
Ru 0.0000 1.8697 4.0180
W 1.8697 0.0000 4.0180
W 0.0000 0.0000 8.0359
F 0.9349 -0.8776 6.0269
F 0.9921 0.9349 2.0090
F 0.9349 2.7474 -2.0090
F 0.8776 0.9349 10.0449